The following is a DFT calculation (GGA-PBE) of crystalline NaLiAgHg at its relaxed geometry.

abc: 6.8790 6.8790 6.8790
angles: 90.00 90.00 90.00
Space group F-43m (No. 216)
One atom of each set of equivalent atoms:
Na1 0.0000 0.0000 0.0000
Li1 0.2500 0.2500 0.7500
Ag1 0.2500 0.2500 0.2500
Hg1 0.0000 0.0000 0.5000

The value obtained for the magnetization is 0.00 Bohr magnetons per cell. For the formation enthalpy at 0 K, the calculation gives -0.164 eV per atom.


The following is a DFT calculation (GGA-PBE) of crystalline NaLiAgHg at its relaxed geometry.

abc: 3.2757 3.2757 7.7215
angles: 90.00 90.00 90.00
Space group P4mm (No. 99)
One atom of each set of equivalent atoms:
Na1 0.0000 0.0000 0.0000
Li1 0.0000 0.0000 0.4672
Ag1 0.5000 0.5000 0.2779
Hg1 0.5000 0.5000 0.6948

The value obtained for the magnetization is 0.00 Bohr magnetons per cell. For the formation enthalpy at 0 K, the calculation gives -0.182 eV per atom.


The following is a DFT calculation (GGA-PBE) of crystalline Li2NdAg2Hg2 at its relaxed geometry.

abc: 4.7791 4.7791 22.7161
angles: 90.00 90.00 120.00
Space group R-3m (No. 166, hexagonal axes)
One atom of each set of equivalent atoms:
Li1 0.0000 0.0000 0.1441
Nd1 0.0000 0.0000 0.0000
Ag1 0.0000 0.0000 0.4357
Hg1 0.0000 0.0000 0.2626

The value obtained for the magnetization is 0.00 Bohr magnetons per cell. For the formation enthalpy at 0 K, the calculation gives -0.267 eV per atom.


The following is a DFT calculation (GGA-PBE) of crystalline Li2NdAgHg4 at its relaxed geometry.

abc: 4.7384 4.7384 27.3649
angles: 90.00 90.00 120.00
Space group R-3m (No. 166, hexagonal axes)
One atom of each set of equivalent atoms:
Li1 0.0000 0.0000 0.2316
Nd1 0.0000 0.0000 0.0000
Ag1 0.0000 0.0000 0.5000
Hg1 0.0000 0.0000 0.1225
Hg2 0.0000 0.0000 0.3921

The value obtained for the magnetization is 0.00 Bohr magnetons per cell. For the formation enthalpy at 0 K, the calculation gives -0.300 eV per atom.


The following is a DFT calculation (GGA-PBE) of crystalline LiNiAgHg2 at its relaxed geometry.

abc: 4.7063 4.7063 4.4867
angles: 90.00 90.00 90.00
Space group P4/mmm (No. 123)
One atom of each set of equivalent atoms:
Li1 0.0000 0.0000 0.0000
Ni1 0.5000 0.5000 0.5000
Ag1 0.0000 0.0000 0.5000
Hg1 0.0000 0.5000 0.0000

The value obtained for the magnetization is 0.44 Bohr magnetons per cell. For the formation enthalpy at 0 K, the calculation gives 0.628 eV per atom.


The following is a DFT calculation (GGA-PBE) of crystalline LiAg2HgP at its relaxed geometry.

abc: 4.8320 4.8320 4.8553
angles: 90.00 90.00 90.00
Space group P4/mmm (No. 123)
One atom of each set of equivalent atoms:
Li1 0.0000 0.0000 0.0000
Ag1 0.0000 0.5000 0.5000
Hg1 0.5000 0.5000 0.0000
P1 0.0000 0.0000 0.5000

The value obtained for the magnetization is 0.00 Bohr magnetons per cell. For the formation enthalpy at 0 K, the calculation gives -0.069 eV per atom.


The following is a DFT calculation (GGA-PBE) of crystalline LiAgHg2P at its relaxed geometry.

abc: 4.7883 4.7883 4.6681
angles: 90.00 90.00 90.00
Space group P4/mmm (No. 123)
One atom of each set of equivalent atoms:
Li1 0.0000 0.0000 0.0000
Ag1 0.0000 0.0000 0.5000
Hg1 0.0000 0.5000 0.0000
P1 0.5000 0.5000 0.5000

The value obtained for the magnetization is 0.00 Bohr magnetons per cell. For the formation enthalpy at 0 K, the calculation gives 0.594 eV per atom.


The following is a DFT calculation (GGA-PBE) of crystalline Li2AgHgPb at its relaxed geometry.

abc: 5.3468 6.1410 6.6993
angles: 90.00 90.00 90.00
Space group Pmma (No. 51)
One atom of each set of equivalent atoms:
Li1 0.2500 0.2446 0.2126
Ag1 0.0000 0.5000 0.5000
Hg1 0.2500 0.5000 0.8787
Pb1 0.2500 0.0000 0.6525

The value obtained for the magnetization is 0.00 Bohr magnetons per cell. For the formation enthalpy at 0 K, the calculation gives -0.137 eV per atom.


The following is a DFT calculation (GGA-PBE) of crystalline LiAgHgPb at its relaxed geometry.

abc: 6.9979 6.9979 6.9979
angles: 90.00 90.00 90.00
Space group F-43m (No. 216)
One atom of each set of equivalent atoms:
Li1 0.0000 0.0000 0.0000
Ag1 0.0000 0.0000 0.5000
Hg1 0.2500 0.2500 0.2500
Pb1 0.2500 0.2500 0.7500

The value obtained for the magnetization is 0.00 Bohr magnetons per cell. For the formation enthalpy at 0 K, the calculation gives -0.093 eV per atom.


The following is a DFT calculation (GGA-PBE) of crystalline LiAgHgPb at its relaxed geometry.

abc: 4.5590 4.5590 8.2902
angles: 90.00 90.00 90.00
Space group I-4m2 (No. 119)
One atom of each set of equivalent atoms:
Li1 0.0000 0.0000 0.0000
Ag1 0.0000 0.0000 0.5000
Hg1 0.0000 0.5000 0.7500
Pb1 0.0000 0.5000 0.2500

The value obtained for the magnetization is 0.00 Bohr magnetons per cell. For the formation enthalpy at 0 K, the calculation gives -0.112 eV per atom.


The following is a DFT calculation (GGA-PBE) of crystalline Li5AgHg2Pb2 at its relaxed geometry.

abc: 11.3080 11.3080 3.2435
angles: 90.00 90.00 90.00
Space group P4/mbm (No. 127)
One atom of each set of equivalent atoms:
Li1 0.0000 0.5000 0.0000
Li2 0.0396 0.1902 0.0000
Ag1 0.0000 0.0000 0.5000
Hg1 0.1339 0.3661 0.5000
Pb1 0.1711 0.6711 0.5000

The value obtained for the magnetization is 0.00 Bohr magnetons per cell. For the formation enthalpy at 0 K, the calculation gives -0.216 eV per atom.


The following is a DFT calculation (GGA-PBE) of crystalline LiAgHgPd at its relaxed geometry.

abc: 6.5045 6.5045 6.5045
angles: 90.00 90.00 90.00
Space group F-43m (No. 216)
One atom of each set of equivalent atoms:
Li1 0.0000 0.0000 0.0000
Ag1 0.2500 0.2500 0.2500
Hg1 0.2500 0.2500 0.7500
Pd1 0.0000 0.0000 0.5000

The value obtained for the magnetization is 0.00 Bohr magnetons per cell. For the formation enthalpy at 0 K, the calculation gives -0.262 eV per atom.